Version w
PrSeCl: optimized geometry, PBE.

Calculated values
The value obtained for the density of states at the Fermi level is 0.205 states/eV/atom. Its spin magnetization is 0.000 μB/atom.

a = 5.518 Å, b = 5.518 Å, c = 5.518 Å
α = 138.47°, β = 138.47°, γ = 60.19°
Fractional positions:
Pr (0.000, 0.000, 0.000)
Se (0.356, 0.356, 0.000)
Cl (0.672, 0.672, 0.000)


Version x
PrSeCl: optimized geometry, PBE.

Calculated values
The value obtained for the density of states at the Fermi level is 0.022 states/eV/atom. Its spin magnetization is 0.000 μB/atom.

a = 4.721 Å, b = 4.721 Å, c = 4.090 Å
α = 90.00°, β = 90.00°, γ = 120.00°
Fractional positions:
Pr (0.000, 0.000, 0.000)
Se (0.667, 0.333, 0.500)
Cl (0.333, 0.667, 0.001)


Version y
PrSeCl: optimized geometry, PBE.

Calculated values
The value obtained for the density of states at the Fermi level is 0.000 states/eV/atom. Its spin magnetization is 0.000 μB/atom.

a = 7.922 Å, b = 7.922 Å, c = 5.372 Å
α = 109.20°, β = 109.20°, γ = 123.47°
Fractional positions:
Pr (0.158, 0.842, 0.000)
Pr (0.842, 0.158, 0.000)
Se (0.251, 0.749, 0.500)
Se (0.749, 0.251, 0.500)
Cl (0.229, 0.229, 0.998)
Cl (0.771, 0.771, 0.002)


Version z
PrSeCl: optimized geometry, PBE.

Calculated values
Its spin magnetization is 0.000 μB/atom.

a = 11.421 Å, b = 11.421 Å, c = 11.421 Å
α = 159.22°, β = 159.22°, γ = 29.56°
Fractional positions:
Pr (0.159, 0.159, 0.000)
Pr (0.841, 0.841, 0.000)
Se (0.299, 0.299, 0.000)
Se (0.701, 0.701, 0.000)
Cl (0.571, 0.071, 0.500)
Cl (0.929, 0.429, 0.500)


It is version y that is most stable; the runner-up trails by 41 meV per atom.


Version w
PrSeCl: optimized geometry, PBE.

Calculated values
Its spin magnetization is 0.000 μB/atom.

a = 3.961 Å, b = 4.415 Å, c = 10.972 Å
α = 89.82°, β = 89.86°, γ = 90.00°
Fractional positions:
Pr (0.249, 0.248, 0.177)
Pr (0.751, 0.752, 0.823)
Se (0.251, 0.251, 0.897)
Se (0.749, 0.749, 0.103)
Cl (0.252, 0.752, 0.643)
Cl (0.748, 0.248, 0.357)


Version x
PrSeCl: optimized geometry, PBE.

Calculated values
The value obtained for the density of states at the Fermi level is 0.000 states/eV/atom. Its spin magnetization is 0.000 μB/atom.

a = 4.952 Å, b = 4.952 Å, c = 4.952 Å
α = 60.00°, β = 60.00°, γ = 60.00°
Fractional positions:
Pr (0.000, 0.000, 0.000)
Se (0.250, 0.250, 0.250)
Cl (0.750, 0.750, 0.750)


It is version w that is most stable; the runner-up trails by 28 meV per atom.


Version w
Pr2Se2Cl: optimized geometry, PBE.

Calculated values
The value obtained for the density of states at the Fermi level is 0.404 states/eV/atom. Its spin magnetization is 0.000 μB/atom.

a = 7.362 Å, b = 7.362 Å, c = 8.546 Å
α = 109.63°, β = 109.63°, γ = 47.59°
Fractional positions:
Pr (0.010, 0.010, 0.248)
Pr (0.335, 0.335, 0.922)
Pr (0.665, 0.665, 0.078)
Pr (0.990, 0.990, 0.752)
Se (0.171, 0.171, 0.090)
Se (0.489, 0.489, 0.745)
Se (0.511, 0.511, 0.255)
Se (0.829, 0.829, 0.910)
Cl (0.151, 0.151, 0.600)
Cl (0.849, 0.849, 0.400)


Version x
Pr2Se2Cl: optimized geometry, PBE.

Calculated values
The value obtained for the density of states at the Fermi level is 0.467 states/eV/atom. Its spin magnetization is 0.000 μB/atom.

a = 9.000 Å, b = 9.000 Å, c = 7.553 Å
α = 90.00°, β = 90.00°, γ = 153.11°
Fractional positions:
Pr (0.062, 0.938, 0.500)
Pr (0.306, 0.694, 0.485)
Pr (0.694, 0.306, 0.985)
Pr (0.938, 0.062, 0.000)
Se (0.309, 0.691, 0.075)
Se (0.450, 0.550, 0.708)
Se (0.550, 0.450, 0.208)
Se (0.691, 0.309, 0.575)
Cl (0.094, 0.906, 0.870)
Cl (0.906, 0.094, 0.370)


It is version w that is most stable; the runner-up trails by 87 meV per atom.


Version w
Pr3Se2Cl: optimized geometry, PBE.

Calculated values
The value obtained for the density of states at the Fermi level is 0.616 states/eV/atom. Its spin magnetization is 0.000 μB/atom.

a = 7.218 Å, b = 7.218 Å, c = 7.218 Å
α = 144.72°, β = 131.12°, γ = 61.71°
Fractional positions:
Pr (0.000, 0.000, 0.000)
Pr (0.320, 0.320, 0.000)
Pr (0.680, 0.680, 0.000)
Se (0.162, 0.662, 0.500)
Se (0.838, 0.338, 0.500)
Cl (0.500, 0.000, 0.500)


Version x
Pr3Se2Cl: optimized geometry, PBE.

Calculated values
The value obtained for the density of states at the Fermi level is 0.567 states/eV/atom. Its spin magnetization is 0.000 μB/atom.

a = 4.089 Å, b = 4.089 Å, c = 22.494 Å
α = 90.00°, β = 90.00°, γ = 120.00°
Fractional positions:
Pr (0.000, 0.000, 0.000)
Pr (0.000, 0.000, 0.500)
Pr (0.333, 0.667, 0.159)
Pr (0.333, 0.667, 0.341)
Pr (0.667, 0.333, 0.659)
Pr (0.667, 0.333, 0.841)
Se (0.333, 0.667, 0.581)
Se (0.333, 0.667, 0.919)
Se (0.667, 0.333, 0.081)
Se (0.667, 0.333, 0.419)
Cl (0.000, 0.000, 0.250)
Cl (0.000, 0.000, 0.750)


It is version w that is most stable; the runner-up trails by 17 meV per atom.


Version w
Pr2SeCl: optimized geometry, PBE.

Calculated values
The value obtained for the density of states at the Fermi level is 0.594 states/eV/atom. Its spin magnetization is 0.000 μB/atom.

a = 7.043 Å, b = 7.043 Å, c = 7.043 Å
α = 35.61°, β = 35.61°, γ = 35.61°
Fractional positions:
Pr (0.246, 0.246, 0.246)
Pr (0.754, 0.754, 0.754)
Se (0.500, 0.500, 0.500)
Cl (0.000, 0.000, 0.000)


Version x
Pr2SeCl: optimized geometry, PBE.

Calculated values
The value obtained for the density of states at the Fermi level is 0.824 states/eV/atom. Its spin magnetization is 0.000 μB/atom.

a = 8.126 Å, b = 8.126 Å, c = 8.126 Å
α = 28.48°, β = 28.48°, γ = 28.48°
Fractional positions:
Pr (0.000, 0.000, 0.000)
Pr (0.179, 0.179, 0.179)
Se (0.588, 0.588, 0.588)
Cl (0.423, 0.423, 0.423)


It is version w that is most stable; the runner-up trails by 29 meV per atom.


Version w
Pr2SnCl: optimized geometry, PBE.

Calculated values
The value obtained for the density of states at the Fermi level is 0.548 states/eV/atom. Its spin magnetization is 0.000 μB/atom.

a = 7.216 Å, b = 7.216 Å, c = 7.216 Å
α = 36.64°, β = 36.64°, γ = 36.64°
Fractional positions:
Pr (0.248, 0.248, 0.248)
Pr (0.752, 0.752, 0.752)
Sn (0.000, 0.000, 0.000)
Cl (0.500, 0.500, 0.500)


Version x
Pr2SnCl: optimized geometry, PBE.

Calculated values
The value obtained for the density of states at the Fermi level is 0.808 states/eV/atom. Its spin magnetization is 0.000 μB/atom.

a = 8.062 Å, b = 8.062 Å, c = 8.062 Å
α = 31.45°, β = 31.45°, γ = 31.45°
Fractional positions:
Pr (0.000, 0.000, 0.000)
Pr (0.178, 0.178, 0.178)
Sn (0.589, 0.589, 0.589)
Cl (0.760, 0.760, 0.760)


It is version w that is most stable; the runner-up trails by 95 meV per atom.